Below is a PBEsol-optimized structure of ReTc2, with properties calculated at the meta-GGA SCAN level.

Cell lengths 11.860, 11.860, 11.860 Å; angles 161.33, 161.33, 26.52 degrees
Element x y z (fractional)
Re (0.292, 0.542, 0.750)
Re (0.458, 0.708, 0.750)
Re (0.542, 0.292, 0.250)
Re (0.708, 0.458, 0.250)
Tc (0.042, 0.792, 0.250)
Tc (0.125, 0.375, 0.750)
Tc (0.208, 0.958, 0.250)
Tc (0.375, 0.125, 0.250)
Tc (0.625, 0.875, 0.750)
Tc (0.792, 0.042, 0.750)
Tc (0.875, 0.625, 0.250)
Tc (0.958, 0.208, 0.750)

Values from the calculation:
- ΔE_f: 46 meV per atom
- SG: I4_1/amd, No. 141